Material: CrHgHRh2
Method: DFT, GGA-PBE
State: relaxed

```
5
Lattice="4.0472 0.0000 0.0000 0.0000 4.0472 0.0000 0.0000 0.0000 3.9445" Properties=species:S:1:pos:R:3 pbc="T T T"
Rh 0.0000 2.0236 0.0000
Rh 2.0236 0.0000 0.0000
Cr 0.0000 0.0000 1.9722
H 0.0000 0.0000 0.0000
Hg 2.0236 2.0236 1.9722
```

**E**: -5.549 eV/atom


Material: Ac2ScTl4
Method: DFT, GGA-PBE
State: relaxed

```
7
Lattice="4.2769 -1.8063 0.6775 -1.8350 6.7471 -2.8711 0.7490 -0.7186 9.5248" Properties=species:S:1:pos:R:3 pbc="T T T"
Sc -0.9175 3.3735 -1.4355
Ac 0.9887 4.2313 5.0636
Ac 2.2022 -0.0093 2.2676
Tl -0.8792 4.8689 2.3059
Tl 4.0701 -0.6468 5.0253
Tl 1.8983 0.9455 6.7422
Tl 1.2926 3.2765 0.5889
```

**E**: -3.522 eV/atom
**ΔE_f**: -0.0917 eV per atom


Material: SmMg3Co8
Method: DFT, GGA-PBE
State: relaxed

```
12
Lattice="4.9159 0.0000 0.0000 2.4580 4.2573 0.0000 2.4580 1.4191 8.1055" Properties=species:S:1:pos:R:3 pbc="T T T"
Co 6.1252 4.9782 5.6277
Co 7.3739 2.8155 5.6277
Co 3.6760 2.1224 1.4425
Co 8.6226 4.9782 5.6277
Co 7.3739 4.2573 7.5778
Co 6.1558 2.1224 1.4425
Co 2.4580 1.4191 3.5595
Co 4.9159 4.2699 1.4425
Mg 4.9159 2.8382 7.1111
Mg 4.9159 2.8382 4.2034
Mg 2.4580 1.4191 8.0236
Sm 7.3739 4.2573 3.0264
```

**E**: -5.576 eV/atom
**ΔE_f**: -0.0471 eV per atom


Material: SrSnRhO6
Method: DFT, GGA-PBE
State: relaxed

```
18
Lattice="-2.6417 2.5828 -3.9149 3.1368 -4.2088 -1.1926 -8.3841 -6.6150 1.2932" Properties=species:S:1:pos:R:3 pbc="T T T"
Sr 0.0000 0.0000 0.0000
Sr -4.1920 -3.3075 0.6466
O -0.8632 -2.0451 -2.9791
O -5.1605 -5.2290 -2.3821
O -1.5144 -4.8818 -3.1250
O 0.8881 -4.1543 -2.4138
O -2.7285 -3.0121 -1.4323
O -0.0690 -2.5358 -0.3402
O -7.8199 -5.7052 -3.4742
O -1.0253 -4.9631 -0.3701
O -7.0257 -6.1959 -0.8353
O -6.3746 -3.3592 -0.6893
O -6.8636 -3.2780 -3.4443
O -8.7770 -4.0867 -1.4006
Rh -0.8854 -3.5987 -1.7768
Rh -7.0036 -4.6423 -2.0376
Sn -5.0774 -6.9062 -1.1302
Sn -2.8115 -1.3348 -2.6842
```

**E**: -6.143 eV/atom
**Uncorrected formation energy**: -1.39 eV/atom